# Sr2VO2

Crystalline Sr2VO2 at its relaxed geometry (PBE+U, Alexandria).

Cell and atoms, written as POSCAR:
```
Sr2VO2
1.0
4.588 0.000 0.000
0.000 4.588 0.000
2.294 2.294 5.957
O V Sr
2 1 2
Direct
0.750 0.250 0.500
0.250 0.750 0.500
0.000 0.000 0.000
0.318 0.318 0.364
0.682 0.682 0.636
```

## Properties
- SG = I4/mmm (139)
- volume (A^3/atom) = 25.08
- E (eV per cell) = -26.12
- theoretical density (g/cm³) = 3.419